(1)
# Sr2LaHfBe PBE-GGA relaxed
data_Sr2LaHfBe
_cell_length_a 6.224
_cell_length_b 6.224
_cell_length_c 4.710
_cell_angle_alpha 90.00
_cell_angle_beta 90.00
_cell_angle_gamma 90.00
_symmetry_space_group_name_H-M 'P 4/m m m'
_symmetry_Int_Tables_number 123
_symmetry_space_group_name_Hall '-P 4 2'
loop_
_atom_site_label
_atom_site_type_symbol
_atom_site_fract_x
_atom_site_fract_y
_atom_site_fract_z
Sr1 Sr 0.000 0.500 0.000
La1 La 0.000 0.000 0.000
Hf1 Hf 0.500 0.500 0.500
Be1 Be 0.000 0.000 0.500
# Energy relative to the elements: 1.552 eV/atom
# Total moment: 0.129 μB per atom
# ρ: 4.565 g/cm³

---

(2)
# SrPa4Pd3O12 PBE-GGA relaxed
data_SrPa4Pd3O12
_cell_length_a 8.380
_cell_length_b 8.380
_cell_length_c 8.380
_cell_angle_alpha 90.00
_cell_angle_beta 90.00
_cell_angle_gamma 90.00
_symmetry_space_group_name_H-M 'I m -3'
_symmetry_Int_Tables_number 204
_symmetry_space_group_name_Hall '-I 2 2 3'
loop_
_atom_site_label
_atom_site_type_symbol
_atom_site_fract_x
_atom_site_fract_y
_atom_site_fract_z
Sr1 Sr 0.000 0.000 0.000
Pa1 Pa 0.250 0.250 0.250
Pd1 Pd 0.000 0.000 0.500
O1 O 0.000 0.285 0.175
# Total moment: 0.100 μB per atom
# ρ: 8.595 g/cm³
# Energy relative to the elements, uncorrected: -257.07 kJ/mol of atoms

---

(3)
# TbPuCu10 PBE-GGA relaxed
data_TbPuCu10
_cell_length_a 4.078
_cell_length_b 5.077
_cell_length_c 8.749
_cell_angle_alpha 90.00
_cell_angle_beta 90.00
_cell_angle_gamma 90.00
_symmetry_space_group_name_H-M 'P m m m'
_symmetry_Int_Tables_number 47
loop_
_symmetry_equiv_pos_as_xyz
'x,y,z'
'-x,-y,-z'
'-x,-y,z'
'x,y,-z'
'x,-y,-z'
'-x,y,z'
'-x,y,-z'
'x,-y,z'
loop_
_atom_site_label
_atom_site_type_symbol
_atom_site_fract_x
_atom_site_fract_y
_atom_site_fract_z
Tb1 Tb 0.000 0.000 0.000
Pu1 Pu 0.000 0.500 0.500
Cu1 Cu 0.000 0.000 0.332
Cu2 Cu 0.000 0.500 0.166
Cu3 Cu 0.500 0.000 0.500
Cu4 Cu 0.500 0.248 0.249
Cu5 Cu 0.500 0.500 0.000
# Energy relative to the elements: -0.105 eV/atom
# Total moment: 0.504 μB per atom
# ρ: 9.519 g/cm³

---

(4)
# Nd6As5S PBE-GGA relaxed
data_Nd6As5S
_cell_length_a 7.351
_cell_length_b 12.723
_cell_length_c 7.353
_cell_angle_alpha 90.00
_cell_angle_beta 109.44
_cell_angle_gamma 90.00
_symmetry_space_group_name_H-M 'C 1 2/m 1'
_symmetry_Int_Tables_number 12
loop_
_symmetry_equiv_pos_as_xyz
'x,y,z'
'-x,-y,-z'
'-x,y,-z'
'x,-y,z'
'x+1/2,y+1/2,z'
'-x+1/2,-y+1/2,-z'
'-x+1/2,y+1/2,-z'
'x+1/2,-y+1/2,z'
loop_
_atom_site_label
_atom_site_type_symbol
_atom_site_fract_x
_atom_site_fract_y
_atom_site_fract_z
Nd1 Nd 0.249 0.000 0.249
Nd2 Nd 0.250 0.166 0.750
As1 As 0.000 0.167 0.000
As2 As 0.000 0.333 0.500
As3 As 0.000 0.500 0.000
S1 S 0.000 0.000 0.500
# Total moment: 0.000 μB per atom
# ρ: 6.515 g/cm³
# Energy relative to the elements, uncorrected: -156.97 kJ/mol of atoms

---

(5)
# Hf3V8W PBE-GGA relaxed
data_Hf3V8W
_cell_length_a 5.1288
_cell_length_b 5.1288
_cell_length_c 8.2850
_cell_angle_alpha 90.00
_cell_angle_beta 90.00
_cell_angle_gamma 120.00
_symmetry_space_group_name_H-M 'P 3 m 1'
_symmetry_Int_Tables_number 156
loop_
_symmetry_equiv_pos_as_xyz
'x,y,z'
'-y,x-y,z'
'-x+y,-x,z'
'-y,-x,z'
'-x+y,y,z'
'x,x-y,z'
loop_
_atom_site_label
_atom_site_type_symbol
_atom_site_fract_x
_atom_site_fract_y
_atom_site_fract_z
Hf1 Hf 0.0000 0.0000 0.0000
Hf2 Hf 0.0000 0.0000 0.3785
Hf3 Hf 0.3333 0.6667 0.8675
V1 V 0.0078 0.5039 0.1946
V2 V 0.3278 0.1639 0.6816
V3 V 0.6667 0.3333 0.4388
V4 V 0.6667 0.3333 0.9362
W1 W 0.3333 0.6667 0.4989
# Energy relative to the elements: -0.014 eV/atom
# Total moment: 0.000 μB per atom
# ρ: 9.914 g/cm³

---

(6)
# Pu2NpMn PBE-GGA relaxed
data_Pu2NpMn
_cell_length_a 6.503
_cell_length_b 6.503
_cell_length_c 6.503
_cell_angle_alpha 90.00
_cell_angle_beta 90.00
_cell_angle_gamma 90.00
_symmetry_space_group_name_H-M 'F m -3 m'
_symmetry_Int_Tables_number 225
_symmetry_space_group_name_Hall '-F 4 2 3'
loop_
_atom_site_label
_atom_site_type_symbol
_atom_site_fract_x
_atom_site_fract_y
_atom_site_fract_z
Pu1 Pu 0.250 0.250 0.250
Np1 Np 0.000 0.000 0.000
Mn1 Mn 0.000 0.000 0.500
# Energy relative to the elements: 0.248 eV/atom
# Total moment: 0.973 μB per atom
# ρ: 18.833 g/cm³

---

Number 1: raw total energy -2.84 eV/atom. Number 2: raw total energy -8.40 eV/atom. Number 3: raw total energy -5.10 eV/atom. Number 4: raw total energy -6.29 eV/atom. Number 5: raw total energy -9.66 eV/atom. Number 6: raw total energy -12.45 eV/atom.